No. 1
{
  "formula": "Ca2BeBr",
  "functional": "GGA-PBE",
  "state": "relaxed",
  "lattice_angstrom": [[1.134, 0.652, 5.140], [-2.318, -3.084, 3.640], [2.845, -3.663, 2.574]],
  "species": ["Ca", "Be", "Br", "Ca"],
  "fractional_positions": [[0.250, 0.250, 0.250], [0.000, 0.000, 0.000], [0.500, 0.500, 0.500], [0.750, 0.750, 0.750]],
  "formation_energy_uncorrected_ev_per_atom": -0.1315,
  "de_polymorph_mev_per_atom": 329
}



No. 2
{
  "formula": "La12Pm6Cd",
  "functional": "GGA-PBE",
  "state": "relaxed",
  "lattice_angstrom": [[8.793, 0.266, -1.596], [-1.958, 8.577, -1.596], [0.205, 0.266, 8.935]],
  "species": ["La", "La", "La", "Pm", "La", "La", "La", "Pm", "Pm", "La", "Pm", "La", "La", "Pm", "La", "Cd", "Pm", "La", "La"],
  "fractional_positions": [[0.740, 0.260, 0.002], [0.169, 0.581, 0.582], [0.740, 0.998, 0.260], [0.594, 0.863, 0.861], [0.260, 0.740, 0.998], [0.582, 0.169, 0.581], [0.419, 0.418, 0.831], [0.137, 0.139, 0.406], [0.139, 0.406, 0.137], [0.418, 0.831, 0.419], [0.863, 0.861, 0.594], [0.581, 0.582, 0.169], [0.002, 0.740, 0.260], [0.861, 0.594, 0.863], [0.831, 0.419, 0.418], [0.000, 0.000, 0.000], [0.406, 0.137, 0.139], [0.260, 0.002, 0.740], [0.998, 0.260, 0.740]],
  "formation_energy_mev_per_atom": 93
}



No. 3
{
  "formula": "HgSbN2",
  "functional": "GGA-PBE",
  "state": "relaxed",
  "lattice_angstrom": [[-2.973, 0.810, 4.243], [-4.248, 0.388, -3.051], [-4.372, -4.409, 1.019]],
  "species": ["N", "Sb", "Hg", "Hg", "N", "N", "N", "Sb"],
  "fractional_positions": [[0.172, 0.625, 0.250], [0.500, 0.500, 0.000], [0.000, 0.000, 0.000], [0.750, 0.250, 0.500], [0.578, 0.125, 0.250], [0.375, 0.422, 0.750], [0.875, 0.828, 0.750], [0.250, 0.750, 0.500]],
  "formation_energy_uncorrected_ev_per_atom": 0.7981,
  "de_polymorph_mev_per_atom": 667
}



No. 4
{
  "formula": "Nd2ErIn",
  "functional": "GGA-PBE",
  "state": "relaxed",
  "lattice_angstrom": [[-0.215, -3.572, -4.247], [-3.454, -4.344, 0.197], [-4.475, -0.141, -3.286]],
  "species": ["Nd", "Nd", "Er", "In"],
  "fractional_positions": [[0.750, 0.750, 0.750], [0.250, 0.250, 0.250], [0.000, 0.000, 0.000], [0.500, 0.500, 0.500]],
  "formation_energy_mev_per_atom": -156,
  "de_polymorph_mev_per_atom": 111
}



No. 5
{
  "formula": "Ce2ScGa2Cu2",
  "functional": "GGA-PBE",
  "state": "relaxed",
  "lattice_angstrom": [[4.282, 0.000, 0.000], [2.141, 3.708, 0.000], [2.141, 1.236, 8.372]],
  "species": ["Cu", "Ga", "Ce", "Ce", "Cu", "Sc", "Ga"],
  "fractional_positions": [[0.392, 0.392, 0.825], [0.729, 0.729, 0.814], [0.863, 0.863, 0.411], [0.137, 0.137, 0.589], [0.608, 0.608, 0.175], [0.000, 0.000, 0.000], [0.271, 0.271, 0.186]],
  "formation_energy_mev_per_atom": -400
}



No. 6
{
  "formula": "AcLa15Dy4",
  "functional": "GGA-PBE",
  "state": "relaxed",
  "lattice_angstrom": [[5.240, 0.000, 0.000], [0.000, 5.240, 0.000], [0.000, 0.000, 26.258]],
  "species": ["La", "La", "La", "La", "La", "Dy", "La", "La", "La", "La", "Dy", "Dy", "La", "Dy", "La", "La", "La", "La", "Ac", "La"],
  "fractional_positions": [[0.500, 0.000, 0.105], [0.500, 0.500, 0.795], [0.500, 0.000, 0.697], [0.500, 0.500, 0.000], [0.500, 0.500, 0.599], [0.000, 0.000, 0.401], [0.500, 0.500, 0.205], [0.000, 0.500, 0.697], [0.000, 0.500, 0.303], [0.500, 0.000, 0.895], [0.000, 0.000, 0.204], [0.000, 0.000, 0.599], [0.500, 0.500, 0.401], [0.000, 0.000, 0.796], [0.500, 0.000, 0.303], [0.000, 0.500, 0.105], [0.000, 0.500, 0.500], [0.000, 0.500, 0.895], [0.000, 0.000, 0.000], [0.500, 0.000, 0.500]],
  "formation_energy_mev_per_atom": 15
}



No. 7
{
  "formula": "Li5PuTl4",
  "functional": "GGA-PBE",
  "state": "relaxed",
  "lattice_angstrom": [[-3.272, -0.153, 0.829], [0.507, -3.010, 1.448], [3.772, 8.559, 16.469]],
  "species": ["Tl", "Li", "Pu", "Tl", "Li", "Tl", "Li", "Tl", "Li", "Li"],
  "fractional_positions": [[0.000, 0.000, 0.207], [0.500, 0.500, 0.307], [0.000, 0.000, 0.000], [0.000, 0.000, 0.596], [0.500, 0.500, 0.122], [0.000, 0.000, 0.404], [0.500, 0.500, 0.500], [0.000, 0.000, 0.793], [0.500, 0.500, 0.878], [0.500, 0.500, 0.693]],
  "formation_energy_mev_per_atom": -100
}



No. 8
{
  "formula": "RbNa3Sb",
  "functional": "GGA-PBE",
  "state": "relaxed",
  "lattice_angstrom": [[7.939, 0.000, -4.389], [-2.214, 6.710, -4.005], [-0.476, 0.009, 8.513]],
  "species": ["Sb", "Na", "Rb", "Sb", "Na", "Na", "Na", "Na", "Rb", "Na"],
  "fractional_positions": [[0.500, 0.000, 0.000], [0.292, 0.792, 0.085], [0.750, 0.599, 0.500], [0.000, 0.500, 0.000], [0.208, 0.208, 0.915], [0.708, 0.208, 0.915], [0.750, 0.138, 0.500], [0.792, 0.792, 0.085], [0.250, 0.401, 0.500], [0.250, 0.862, 0.500]],
  "formation_energy_uncorrected_ev_per_atom": -0.2419,
  "de_polymorph_mev_per_atom": 32
}



No. 9
{
  "formula": "Sm8HgPd2",
  "functional": "GGA-PBE",
  "state": "relaxed",
  "lattice_angstrom": [[5.584, 0.082, -0.921], [-1.903, 7.249, -3.247], [0.090, -0.277, 8.163]],
  "species": ["Hg", "Sm", "Sm", "Sm", "Pd", "Pd", "Sm", "Sm", "Sm", "Sm", "Sm"],
  "fractional_positions": [[0.001, 0.003, 0.003], [0.000, 0.241, 0.765], [0.188, 0.392, 0.392], [0.581, 0.334, 0.088], [0.500, 0.702, 0.304], [0.500, 0.304, 0.702], [0.419, 0.918, 0.672], [0.000, 0.765, 0.241], [0.419, 0.672, 0.918], [0.812, 0.614, 0.614], [0.581, 0.088, 0.334]],
  "formation_energy_mev_per_atom": -271,
  "de_polymorph_mev_per_atom": 93
}



No. 10
{
  "formula": "LaHo2Er4Tm",
  "functional": "GGA-PBE",
  "state": "relaxed",
  "lattice_angstrom": [[11.826, -0.340, -3.202], [0.124, 7.060, -0.276], [-8.391, -3.035, 8.376]],
  "species": ["Er", "Tm", "Ho", "Er", "Er", "La", "Tm", "Er", "Er", "Ho", "Ho", "Ho", "Er", "Er", "La", "Er"],
  "fractional_positions": [[0.249, 0.252, 0.503], [0.000, 0.500, 0.500], [0.500, 0.500, 0.000], [0.749, 0.752, 0.003], [0.252, 0.748, 0.999], [0.000, 0.000, 0.000], [0.000, 0.500, 0.000], [0.748, 0.252, 0.001], [0.751, 0.248, 0.499], [0.500, 0.000, 0.500], [0.000, 0.000, 0.500], [0.500, 0.000, 0.000], [0.248, 0.752, 0.501], [0.252, 0.248, 0.997], [0.500, 0.500, 0.500], [0.752, 0.748, 0.497]],
  "formation_energy_mev_per_atom": 23
}



No. 11
{
  "formula": "Pu2AsO",
  "functional": "GGA-PBE",
  "state": "relaxed",
  "lattice_angstrom": [[-0.395, 1.970, -2.525], [-2.776, 1.057, 1.259], [3.449, 5.029, 3.384]],
  "species": ["O", "As", "Pu", "Pu"],
  "fractional_positions": [[0.500, 0.500, 0.000], [0.500, 0.500, 0.500], [0.000, 0.000, 0.779], [0.000, 0.000, 0.221]],
  "formation_energy_uncorrected_ev_per_atom": -1.2839,
  "de_polymorph_mev_per_atom": 453
}



No. 12
{
  "formula": "Nd2Np2ScRu5",
  "functional": "GGA-PBE",
  "state": "relaxed",
  "lattice_angstrom": [[-0.391, -2.799, 2.070], [7.997, 3.417, 6.130], [-6.917, 5.408, 6.009]],
  "species": ["Np", "Ru", "Ru", "Ru", "Ru", "Ru", "Ru", "Np", "Np", "Ru", "Nd", "Nd", "Sc", "Sc", "Ru", "Ru", "Nd", "Ru", "Np", "Nd"],
  "fractional_positions": [[0.000, 0.359, 0.141], [0.500, 0.297, 0.556], [0.500, 0.056, 0.797], [0.500, 0.556, 0.703], [0.500, 0.000, 0.500], [0.500, 0.797, 0.944], [0.500, 0.444, 0.297], [0.000, 0.641, 0.859], [0.000, 0.859, 0.359], [0.500, 0.944, 0.203], [0.000, 0.329, 0.829], [0.000, 0.671, 0.171], [0.000, 0.000, 0.000], [0.000, 0.500, 0.500], [0.500, 0.203, 0.056], [0.500, 0.500, 0.000], [0.000, 0.171, 0.329], [0.500, 0.703, 0.444], [0.000, 0.141, 0.641], [0.000, 0.829, 0.671]],
  "formation_energy_mev_per_atom": -77
}